Entry from Alexandria via LeMat-Bulk: NaRe2PdSe at its PBEsol-relaxed geometry (SCAN).

Results
The calculation puts the uncorrected formation energy at 1348 meV/atom.

Cell and atoms, written as POSCAR:
```
NaRe2PdSe
1.0
4.553 0.000 0.000
0.000 4.553 0.000
0.000 0.000 4.723
Na Re Pd Se
1 2 1 1
direct
0.000 0.000 0.000
0.000 0.500 0.500
0.500 0.000 0.500
0.500 0.500 0.000
0.500 0.500 0.500
```

=====

Entry from Alexandria via LeMat-Bulk: NaReSiPd2 at its PBEsol-relaxed geometry (SCAN).

Results
The calculation puts the uncorrected formation energy at 1856 meV/atom.

Cell and atoms, written as POSCAR:
```
NaReSiPd2
1.0
4.308 0.000 0.000
0.000 4.308 0.000
0.000 0.000 4.521
Na Re Si Pd
1 1 1 2
direct
0.000 0.000 0.000
0.500 0.500 0.500
0.000 0.000 0.500
0.000 0.500 0.000
0.500 0.000 0.000
```

=====

Entry from Alexandria via LeMat-Bulk: NaZrPd2Ru at its PBEsol-relaxed geometry (SCAN).

Results
As for the formation energy: 1.4235 eV/atom.

Cell and atoms, written as POSCAR:
```
NaZrPd2Ru
1.0
4.679 0.000 0.000
0.000 4.679 0.000
0.000 0.000 4.963
Na Zr Pd Ru
1 1 2 1
direct
0.000 0.000 0.000
0.000 0.000 0.500
0.000 0.500 0.500
0.500 0.000 0.500
0.500 0.500 0.000
```

=====

Entry from Alexandria via LeMat-Bulk: NaPdS2 at its PBEsol-relaxed geometry (SCAN).

Results
The calculation puts the uncorrected formation energy at -432 meV/atom.

Cell and atoms, written as POSCAR:
```
NaPdS2
1.0
-2.970 2.970 5.400
2.970 -2.970 5.400
2.970 2.970 -5.400
Na Pd S
2 2 4
direct
0.000 0.000 0.000
0.750 0.250 0.500
0.250 0.750 0.500
0.500 0.500 0.000
0.198 0.625 0.073
0.375 0.448 0.573
0.552 0.125 0.927
0.875 0.802 0.427
```

=====

Entry from Alexandria via LeMat-Bulk: Na3PdS at its PBEsol-relaxed geometry (SCAN).

Results
The calculation puts the uncorrected formation energy at -278 meV/atom.

Cell and atoms, written as POSCAR:
```
Na3PdS
1.0
5.159 0.000 0.000
0.000 5.159 0.000
0.000 0.000 5.159
Na Pd S
3 1 1
direct
0.000 0.000 0.500
0.000 0.500 0.000
0.500 0.000 0.000
0.500 0.500 0.500
0.000 0.000 0.000
```

=====

Entry from Alexandria via LeMat-Bulk: Na2Sb2Pd at its PBEsol-relaxed geometry (SCAN).

Results
The calculation puts the uncorrected formation energy at -492 meV/atom.

Cell and atoms, written as POSCAR:
```
Na2Sb2Pd
1.0
6.900 0.000 0.000
0.000 6.900 0.000
0.000 0.000 5.110
Na Sb Pd
4 4 2
direct
0.169 0.331 0.000
0.331 0.831 0.000
0.669 0.169 0.000
0.831 0.669 0.000
0.148 0.648 0.500
0.352 0.148 0.500
0.648 0.852 0.500
0.852 0.352 0.500
0.000 0.000 0.500
0.500 0.500 0.500
```

=====

Entry from Alexandria via LeMat-Bulk: NaSb2TePd at its PBEsol-relaxed geometry (SCAN).

Results
The calculation puts the uncorrected formation energy at 5 meV/atom.

Cell and atoms, written as POSCAR:
```
NaSb2TePd
1.0
5.145 0.000 0.000
0.000 5.145 0.000
0.000 0.000 5.581
Na Sb Te Pd
1 2 1 1
direct
0.000 0.000 0.000
0.000 0.500 0.500
0.500 0.000 0.500
0.500 0.500 0.000
0.500 0.500 0.500
```

=====

Entry from Alexandria via LeMat-Bulk: NaZr2SbPd at its PBEsol-relaxed geometry (SCAN).

Results
The calculation puts the uncorrected formation energy at 1209 meV/atom.

Cell and atoms, written as POSCAR:
```
NaZr2SbPd
1.0
4.819 0.000 0.000
0.000 4.819 0.000
0.000 0.000 4.838
Na Zr Sb Pd
1 2 1 1
direct
0.000 0.000 0.000
0.000 0.500 0.000
0.500 0.000 0.000
0.000 0.000 0.500
0.500 0.500 0.500
```

=====

no.,E_tot (Ha/atom)
1,-1.415
2,-1.041
3,-0.942
4,-0.533
5,-0.415
6,-0.869
7,-1.093
8,-0.953